DFT (GGA-PBE) results for an optimized crystal structure of Pm2BeGa4Cu3.

Space-group type: P-4m2
ρ in g/cm3: 7.3
Energy of formation from the pure elements in kJ per mole of atoms: -40.4
Total energy in eV/atom: -4.18
Size of the total moment in μB/f.u.: 0.0

Unit cell a=4.181 b=4.181 c=10.015 alpha=90.00 beta=90.00 gamma=90.00
Fractional positions:
Pm 0.000 0.500 0.242
Pm 0.500 0.000 0.758
Be 0.500 0.500 0.000
Ga 0.000 0.000 0.500
Ga 0.000 0.500 0.876
Ga 0.500 0.000 0.124
Ga 0.500 0.500 0.500
Cu 0.000 0.000 0.000
Cu 0.000 0.500 0.634
Cu 0.500 0.000 0.366

DFT (GGA-PBE) results for an optimized crystal structure of BaCeAs2Rh2.

Space-group type: P-3m1
ρ in g/cm3: 7.6
Energy of formation from the pure elements in kJ per mole of atoms: -92.3
Total energy in eV/atom: -6.27
Size of the total moment in μB/f.u.: 0.0

Unit cell a=4.292 b=4.292 c=8.702 alpha=90.00 beta=90.00 gamma=120.00
Fractional positions:
Ba 0.000 0.000 0.000
Ce 0.000 0.000 0.500
As 0.333 0.667 0.274
As 0.667 0.333 0.726
Rh 0.333 0.667 0.710
Rh 0.667 0.333 0.290

DFT (GGA-PBE) results for an optimized crystal structure of TbYErLu.

Space-group type: F-43m
ρ in g/cm3: 7.8
Energy of formation from the pure elements in kJ per mole of atoms: 12.4
Total energy in eV/atom: -4.92
Size of the total moment in μB/f.u.: 0.0

Unit cell a=5.628 b=5.628 c=5.628 alpha=60.00 beta=60.00 gamma=60.00
Fractional positions:
Tb 0.000 0.000 0.000
Y 0.500 0.500 0.500
Er 0.250 0.250 0.250
Lu 0.750 0.750 0.750